Record 1
# CsCd2Te GGA-PBE relaxed
data_CsCd2Te
_symmetry_space_group_name_H-M 'I -4 2 d'
_symmetry_Int_Tables_number 122
_symmetry_space_group_name_Hall 'I -4 2bw'
_cell_length_a 9.592
_cell_length_b 9.592
_cell_length_c 7.367
_cell_angle_alpha 90.00
_cell_angle_beta 90.00
_cell_angle_gamma 90.00
loop_
_atom_site_label
_atom_site_fract_x
_atom_site_fract_y
_atom_site_fract_z
Cs1 0.000 0.000 0.000
Cd1 0.177 0.250 0.625
Te1 0.000 0.000 0.500
# **Magnetization**: 0.00 μB/f.u.
# **Total DFT energy (no corrections)**: -1.641 eV per atom
# **E_form (uncorrected)**: -0.7 eV/f.u.
# **ρ**: 4756 kg/m³

=====

Record 2
# Cs5Cd2Te4 GGA-PBE relaxed
data_Cs5Cd2Te4
_symmetry_space_group_name_H-M 'C 1 2/m 1'
_symmetry_Int_Tables_number 12
_cell_length_a 19.818
_cell_length_b 5.661
_cell_length_c 9.827
_cell_angle_alpha 90.00
_cell_angle_beta 94.35
_cell_angle_gamma 90.00
loop_
_symmetry_equiv_pos_as_xyz
'x,y,z'
'-x,-y,-z'
'-x,y,-z'
'x,-y,z'
'x+1/2,y+1/2,z'
'-x+1/2,-y+1/2,-z'
'-x+1/2,y+1/2,-z'
'x+1/2,-y+1/2,z'
loop_
_atom_site_label
_atom_site_fract_x
_atom_site_fract_y
_atom_site_fract_z
Cs1 0.000 0.000 0.000
Cs2 0.157 0.500 0.994
Cs3 0.161 0.500 0.497
Cd1 0.040 0.000 0.637
Te1 0.006 0.500 0.266
Te2 0.180 0.000 0.749
# **Magnetization**: 0.00 μB/f.u.
# **Total DFT energy (no corrections)**: -2.456 eV per atom
# **E_form (uncorrected)**: -8.3 eV/f.u.
# **ρ**: 4229 kg/m³

=====

Record 3
# Cs2CdTe3 GGA-PBE relaxed
data_Cs2CdTe3
_symmetry_space_group_name_H-M 'P n m a'
_symmetry_Int_Tables_number 62
_cell_length_a 8.448
_cell_length_b 5.101
_cell_length_c 25.585
_cell_angle_alpha 90.00
_cell_angle_beta 90.00
_cell_angle_gamma 90.00
loop_
_symmetry_equiv_pos_as_xyz
'x,y,z'
'-x,-y,-z'
'-x+1/2,-y,z+1/2'
'x+1/2,y,-z+1/2'
'x+1/2,-y+1/2,-z+1/2'
'-x+1/2,y+1/2,z+1/2'
'-x,y+1/2,-z'
'x,-y+1/2,z'
loop_
_atom_site_label
_atom_site_fract_x
_atom_site_fract_y
_atom_site_fract_z
Cs1 0.152 0.250 0.072
Cs2 0.237 0.250 0.283
Cd1 0.013 0.750 0.445
Te1 0.082 0.750 0.179
Te2 0.093 0.250 0.662
Te3 0.189 0.250 0.463
# **Magnetization**: 0.00 μB/f.u.
# **Total DFT energy (no corrections)**: -2.739 eV per atom
# **E_form (uncorrected)**: -4.4 eV/f.u.
# **ρ**: 4585 kg/m³

=====

| no. | V (Å³ per cell) |
| --- | --- |
| 1 | 678 |
| 2 | 1099 |
| 3 | 1102 |